1.
GGA-PBE RbGaSn, relaxed; electronic total energy = -2.84 eV/atom; energy of formation from the pure elements = -17.2 kJ per mole of atoms; DOS(E_F) = 0.000 states/eV/f.u.
1.0
4.614 0.000 0.000
-1.669 7.290 0.000
-1.686 -2.833 6.716
Rb Ga Sn
2 2 2
direct
0.000 0.000 0.000 Rb
0.499 0.357 0.643 Rb
0.207 0.564 0.115 Ga
0.708 0.472 0.208 Ga
0.203 0.746 0.545 Sn
0.702 0.902 0.388 Sn


2.
GGA-PBE TiCl, relaxed; electronic total energy = -5.53 eV/atom; raw formation energy = -64 kJ per mole of atoms; DOS(E_F) = 2.153 states/eV/f.u.
1.0
4.954 0.000 0.000
0.000 3.134 0.000
-2.477 0.000 4.785
Ti Cl
2 2
direct
0.116 0.250 0.231 Ti
0.884 0.750 0.769 Ti
0.336 0.750 0.672 Cl
0.664 0.250 0.328 Cl


3.
GGA-PBE Ca2InO3, relaxed; electronic total energy = -5.86 eV/atom; raw formation energy = -218 kJ per mole of atoms; DOS(E_F) = 0.847 states/eV/f.u.
1.0
-1.740 2.398 5.259
1.740 -2.398 5.259
1.740 2.398 -5.259
Ca In O
2 1 3
direct
0.167 0.167 0.000 Ca
0.833 0.833 0.000 Ca
0.500 0.500 0.000 In
0.000 0.500 0.500 O
0.322 0.822 0.500 O
0.678 0.178 0.500 O


4.
GGA-PBE InHPt2Au, relaxed; electronic total energy = -4.39 eV/atom; DOS(E_F) = 1.409 states/eV/f.u.
1.0
4.109 0.000 0.000
0.000 4.109 0.000
0.000 0.000 4.283
In H Pt Au
1 1 2 1
direct
0.000 0.000 0.000 In
0.500 0.500 0.500 H
0.000 0.500 0.500 Pt
0.500 0.000 0.500 Pt
0.500 0.500 0.000 Au


5.
GGA-PBE HgAsHI2, relaxed; electronic total energy = -1.83 eV/atom; DOS(E_F) = 3.936 states/eV/f.u.
1.0
5.696 0.000 0.000
0.000 5.696 0.000
0.000 0.000 3.749
Hg As H I
1 1 1 2
direct
0.000 0.000 0.000 Hg
0.500 0.500 0.000 As
0.500 0.500 0.500 H
0.000 0.500 0.500 I
0.500 0.000 0.500 I


6.
GGA-PBE CdTcRh4, relaxed; electronic total energy = -6.48 eV/atom; energy of formation from the pure elements = 29.0 kJ per mole of atoms; DOS(E_F) = 8.640 states/eV/f.u.
1.0
0.000 3.629 3.629
3.629 0.000 3.629
3.629 3.629 0.000
Cd Tc Rh
1 1 4
direct
0.000 0.000 0.000 Cd
0.750 0.750 0.750 Tc
0.375 0.375 0.375 Rh
0.375 0.375 0.875 Rh
0.375 0.875 0.375 Rh
0.875 0.375 0.375 Rh


7.
GGA-PBE CeZnAg, relaxed; electronic total energy = -3.39 eV/atom; energy of formation from the pure elements = -4.0 kJ per mole of atoms; DOS(E_F) = 3.837 states/eV/f.u.
1.0
-1.560 1.560 12.286
1.560 -1.560 12.286
1.560 1.560 -12.286
Ce Zn Ag
2 2 2
direct
0.055 0.055 0.000 Ce
0.945 0.945 0.000 Ce
0.354 0.354 0.000 Zn
0.646 0.646 0.000 Zn
0.211 0.211 0.000 Ag
0.789 0.789 0.000 Ag


8.
GGA-PBE NaTl2SbS4, relaxed; electronic total energy = -3.77 eV/atom; raw formation energy = -42 kJ per mole of atoms
1.0
8.622 0.000 0.000
0.000 9.454 0.000
0.000 0.000 6.372
Na Tl Sb S
2 4 2 8
direct
0.000 0.109 0.000 Na
0.500 0.891 0.500 Na
0.211 0.337 0.517 Tl
0.289 0.663 0.017 Tl
0.711 0.663 0.017 Tl
0.789 0.337 0.517 Tl
0.000 0.827 0.443 Sb
0.500 0.173 0.943 Sb
0.000 0.069 0.539 S
0.000 0.820 0.068 S
0.229 0.705 0.541 S
0.271 0.295 0.041 S
0.500 0.180 0.568 S
0.500 0.931 0.039 S
0.729 0.295 0.041 S
0.771 0.705 0.541 S


9.
GGA-PBE MnAgAsBr2, relaxed; electronic total energy = -3.41 eV/atom; raw formation energy = 57 kJ per mole of atoms; energy above the lowest structure with this stoichiometry = 425 meV per atom; DOS(E_F) = 1.727 states/eV/f.u.
1.0
5.309 0.000 0.000
0.000 5.309 0.000
0.000 0.000 5.184
Mn Ag As Br
1 1 1 2
direct
0.000 0.000 0.000 Mn
0.500 0.500 0.500 Ag
0.500 0.500 0.000 As
0.000 0.500 0.500 Br
0.500 0.000 0.500 Br


10.
GGA-PBE Sm2Ag2Hg, relaxed; electronic total energy = -3.37 eV/atom; energy of formation from the pure elements = -26.8 kJ per mole of atoms; DOS(E_F) = 4.177 states/eV/f.u.
1.0
5.598 -2.350 0.000
5.598 2.350 0.000
-3.990 0.000 9.629
Sm Ag Hg
4 4 2
direct
0.025 0.025 0.344 Sm
0.181 0.181 0.098 Sm
0.819 0.819 0.902 Sm
0.975 0.975 0.656 Sm
0.367 0.367 0.425 Ag
0.463 0.463 0.116 Ag
0.537 0.537 0.884 Ag
0.633 0.633 0.575 Ag
0.276 0.276 0.675 Hg
0.724 0.724 0.325 Hg


11.
GGA-PBE YCdSb2P, relaxed; electronic total energy = -3.45 eV/atom; raw formation energy = 73 kJ per mole of atoms; DOS(E_F) = 2.445 states/eV/f.u.
1.0
5.291 0.000 0.000
0.000 5.291 0.000
0.000 0.000 5.752
Y Cd Sb P
1 1 2 1
direct
0.000 0.000 0.000 Y
0.000 0.000 0.500 Cd
0.000 0.500 0.500 Sb
0.500 0.000 0.500 Sb
0.500 0.500 0.000 P


12.
GGA-PBE Ac2PmPrSm4, relaxed; electronic total energy = -4.19 eV/atom; energy of formation from the pure elements = 37.5 kJ per mole of atoms; DOS(E_F) = 18.323 states/eV/f.u.
1.0
-3.590 6.087 6.904
3.590 -6.087 6.904
3.590 6.087 -6.904
Ac Pm Pr Sm
4 2 2 8
direct
0.000 0.000 0.000 Ac
0.500 0.000 0.000 Ac
0.500 0.000 0.500 Ac
0.500 0.500 0.500 Ac
0.000 0.000 0.500 Pm
0.000 0.500 0.000 Pm
0.000 0.500 0.500 Pr
0.500 0.500 0.000 Pr
0.227 0.742 0.486 Sm
0.239 0.255 0.516 Sm
0.239 0.724 0.984 Sm
0.244 0.258 0.986 Sm
0.756 0.742 0.014 Sm
0.761 0.276 0.016 Sm
0.761 0.745 0.484 Sm
0.773 0.258 0.514 Sm


13.
GGA-PBE NaPr5Tl3, relaxed; electronic total energy = -3.85 eV/atom; energy of formation from the pure elements = -24.8 kJ per mole of atoms; DOS(E_F) = 9.600 states/eV/f.u.
1.0
9.738 0.000 0.000
-4.869 8.433 0.000
0.000 0.000 6.894
Na Pr Tl
2 10 6
direct
0.000 0.000 0.000 Na
0.000 0.000 0.500 Na
0.000 0.322 0.250 Pr
0.000 0.678 0.750 Pr
0.322 0.000 0.250 Pr
0.322 0.322 0.750 Pr
0.333 0.667 0.000 Pr
0.333 0.667 0.500 Pr
0.667 0.333 0.000 Pr
0.667 0.333 0.500 Pr
0.678 0.000 0.750 Pr
0.678 0.678 0.250 Pr
0.000 0.341 0.750 Tl
0.000 0.659 0.250 Tl
0.341 0.000 0.750 Tl
0.341 0.341 0.250 Tl
0.659 0.000 0.250 Tl
0.659 0.659 0.750 Tl